Density functional theory data (GGA-PBE) for an optimized crystal structure of SrRe.

Geometry as extended XYZ:
```
2
Lattice="-0.6778 1.5403 2.2867 -1.6550 -2.1107 0.9312 4.1175 -2.0738 2.6174" Properties=species:S:1:pos:R:3 pbc="T T T"
Re 0.0000 0.0000 0.0000
Sr 0.8924 -1.3221 2.9176
```

Properties
Magnetic moment, μB per cell: 0.000
Calculated formation energy, eV per atom: 1.29
Energy above the lowest structure with this stoichiometry, kJ/mol of formula units: 183

Density functional theory data (GGA-PBE) for an optimized crystal structure of Sr2Re.

Geometry as extended XYZ:
```
6
Lattice="3.5700 -8.2509 0.0000 3.5700 8.2509 0.0000 0.0000 0.0000 4.1295" Properties=species:S:1:pos:R:3 pbc="T T T"
Sr 5.4092 -2.2253 3.0972
Sr 1.7308 2.2253 1.0324
Sr 5.4092 2.2253 3.0972
Sr 1.7308 -2.2253 1.0324
Re 0.6291 0.0000 3.0972
Re 6.5108 0.0000 1.0324
```

Properties
Magnetic moment, μB per cell: 0.001
Calculated formation energy, eV per atom: 0.48
Energy above the lowest structure with this stoichiometry, kJ/mol of formula units: 12

Density functional theory data (GGA-PBE) for an optimized crystal structure of Sr2Re.

Geometry as extended XYZ:
```
6
Lattice="1.5637 -8.9928 0.0000 1.5637 8.9928 0.0000 0.0000 0.0000 5.7346" Properties=species:S:1:pos:R:3 pbc="T T T"
Sr 1.5637 0.7710 1.4336
Sr 1.5637 -0.7710 4.3009
Sr 1.5637 -5.0523 1.4336
Sr 1.5637 5.0523 4.3009
Re 1.5637 6.7917 1.4336
Re 1.5637 -6.7917 4.3009
```

Properties
Magnetic moment, μB per cell: 0.000
Calculated formation energy, eV per atom: 1.14
Energy above the lowest structure with this stoichiometry, kJ/mol of formula units: 204

Density functional theory data (GGA-PBE) for an optimized crystal structure of SrRe.

Geometry as extended XYZ:
```
8
Lattice="-5.2883 -0.3069 1.3045 2.1513 -3.5649 -3.5250 1.7819 -4.9225 6.0656" Properties=species:S:1:pos:R:3 pbc="T T T"
Sr 0.4455 -1.2306 1.5164
Sr 1.3364 -3.6919 4.5492
Sr 1.0078 -6.1707 2.6340
Sr -2.3630 -2.6235 1.2111
Re -0.1331 -3.0188 -1.2498
Re -1.7220 -4.3941 3.3928
Re -1.2220 -5.7754 5.0949
Re 0.3669 -4.4001 0.4523
```

Properties
Magnetic moment, μB per cell: 0.000
Calculated formation energy, eV per atom: 1.17
Energy above the lowest structure with this stoichiometry, kJ/mol of formula units: 160

Density functional theory data (GGA-PBE) for an optimized crystal structure of SrRe2.

Geometry as extended XYZ:
```
6
Lattice="0.0000 3.9166 3.9166 3.9166 0.0000 3.9166 3.9166 3.9166 0.0000" Properties=species:S:1:pos:R:3 pbc="T T T"
Sr 3.9166 3.9166 3.9166
Sr 5.8749 5.8749 5.8749
Re 0.9791 2.9374 2.9374
Re 2.9374 0.9791 2.9374
Re 2.9374 2.9374 0.9791
Re 0.9791 0.9791 0.9791
```

Properties
Magnetic moment, μB per cell: 0.000
Calculated formation energy, eV per atom: 0.57

Density functional theory data (GGA-PBE) for an optimized crystal structure of SrRe.

Geometry as extended XYZ:
```
4
Lattice="3.2984 0.0000 0.0000 0.0000 3.9227 0.0000 0.0000 0.0000 9.1115" Properties=species:S:1:pos:R:3 pbc="T T T"
Re 0.0000 0.0000 8.4810
Re 1.6492 1.9613 8.2233
Sr 1.6492 0.0000 5.6476
Sr 0.0000 1.9613 1.9453
```

Properties
Magnetic moment, μB per cell: 0.000
Calculated formation energy, eV per atom: 0.62
Energy above the lowest structure with this stoichiometry, kJ/mol of formula units: 55